(1)
Computed, not measured: a PBEsol-optimized structure of AlCrN2O at the meta-GGA SCAN level of DFT.

Unit cell a=3.595 b=3.698 c=3.698 alpha=90.00 beta=90.00 gamma=90.00
Last column: magnetic moment on the atom in μB.
Fractional coordinates of all 5 atoms:
1 O 0.500 0.000 0.000  -0.45
2 Cr 0.500 0.500 0.500  3.62
3 N 0.000 0.500 0.000  -0.77
4 N 0.000 0.000 0.500  -0.77
5 Al 0.000 0.000 0.000  0.03

Results
Space group ... P4/mmm, No. 123
Magnetic moment ... 1.26 μB/cell
E ... -10.44 eV per atom
V ... 49 Å³ per cell
Formation energy from raw total energies ... -0.2519 eV per atom

=====

(2)
Computed, not measured: a PBEsol-optimized structure of NaAl3Cr at the meta-GGA SCAN level of DFT.

Unit cell a=4.915 b=4.915 c=4.915 alpha=90.00 beta=90.00 gamma=90.00
Last column: magnetic moment on the atom in μB.
Fractional coordinates of all 5 atoms:
1 Al 0.000 0.000 0.500  -0.02
2 Al 0.000 0.500 0.000  -0.02
3 Al 0.500 0.000 0.000  -0.02
4 Cr 0.500 0.500 0.500  4.19
5 Na 0.000 0.000 0.000  0.01

Results
Formation energy from the elements ... 1337 meV/atom
Space group ... Pm-3m, No. 221
Magnetic moment ... 4.59 μB/cell
E ... -7.83 eV per atom
V ... 119 Å³ per cell

=====

(3)
Computed, not measured: a PBEsol-optimized structure of NaAl2Cr at the meta-GGA SCAN level of DFT.

Unit cell a=4.563 b=4.563 c=4.563 alpha=60.00 beta=60.00 gamma=60.00
Last column: magnetic moment on the atom in μB.
Fractional coordinates of all 4 atoms:
1 Al 0.250 0.250 0.250  -0.05
2 Al 0.750 0.750 0.750  -0.05
3 Na 0.000 0.000 0.000  -0.01
4 Cr 0.500 0.500 0.500  3.60

Results
Formation energy from the elements ... 135 meV/atom
Space group ... Fm-3m, No. 225
Magnetic moment ... 3.71 μB/cell
E ... -9.39 eV per atom
V ... 67 Å³ per cell

=====

(4)
Computed, not measured: a PBEsol-optimized structure of Na4AlCr3P8O28 at the meta-GGA SCAN level of DFT.

Unit cell a=7.285 b=7.778 c=9.435 alpha=90.06 beta=111.66 gamma=90.15
Last column: magnetic moment on the atom in μB.
Fractional coordinates of all 44 atoms:
1 O 0.357 0.604 0.594  0.00
2 O 0.881 0.350 0.943  0.00
3 O 0.642 0.101 0.903  0.00
4 O 0.639 0.398 0.402  0.00
5 O 0.308 0.808 0.377  0.00
6 O 0.470 0.584 0.154  0.01
7 O 0.122 0.646 0.059  0.00
8 O 0.193 0.207 0.124  0.00
9 O 0.999 0.918 0.142  0.00
10 O 0.009 0.418 0.359  0.01
11 O 0.123 0.852 0.560  0.00
12 O 0.809 0.865 0.606  0.01
13 O 0.533 0.416 0.846  0.01
14 O 0.811 0.786 0.877  0.01
15 O 0.689 0.201 0.621  0.00
16 O 0.810 0.715 0.376  0.00
17 O 0.688 0.299 0.121  0.00
18 O 0.873 0.148 0.438  0.00
19 O 0.810 0.636 0.107  0.01
20 O 0.521 0.086 0.346  0.00
21 O 0.194 0.365 0.896  0.01
22 O 0.180 0.131 0.386  0.00
23 O 0.011 0.081 0.858  0.01
24 O 0.312 0.704 0.881  0.00
25 O 0.991 0.581 0.641  0.01
26 O 0.191 0.283 0.621  0.01
27 O 0.357 0.897 0.105  0.00
28 O 0.470 0.917 0.654  0.01
29 Cr 0.742 0.993 0.753  2.81
30 Cr 0.260 0.493 0.747  2.81
31 Cr 0.741 0.507 0.253  2.81
32 P 0.674 0.290 0.956  0.01
33 P 0.669 0.209 0.454  0.01
34 P 0.926 0.746 0.546  0.01
35 P 0.328 0.711 0.047  0.01
36 P 0.072 0.252 0.452  0.01
37 P 0.928 0.755 0.046  0.00
38 P 0.078 0.244 0.956  0.00
39 P 0.327 0.793 0.543  0.00
40 Na 0.292 0.478 0.297  0.00
41 Na 0.293 0.025 0.795  0.00
42 Na 0.709 0.525 0.704  0.00
43 Na 0.709 0.975 0.204  0.00
44 Al 0.259 0.009 0.248  0.00

Results
Space group ... P1, No. 1
Magnetic moment ... 9.00 μB/cell
E ... -10.27 eV per atom
V ... 497 Å³ per cell
Formation energy from raw total energies ... -2.6017 eV per atom